Computed, not measured: a geometry-optimized SrCdCoP structure at the PBE-GGA level of DFT.

Output
As for the total DFT energy (no corrections): -4.37 eV/atom. The formation enthalpy at 0 K comes out at -0.59 eV per atom.

Cell lengths 3.9385, 3.9385, 11.4651 Å; angles 90.00, 90.00, 90.00 degrees
Last column: nearest neighbours and their distance in Å.
Sites, in units of the cell vectors:
Cd: 0.7500 0.2500 0.5000  4 Cd 2.78
Cd: 0.2500 0.7500 0.5000  4 Cd 2.78
P: 0.2500 0.2500 0.0965  4 Co 2.26
P: 0.7500 0.7500 0.9035  4 Co 2.26
Sr: 0.2500 0.2500 0.7751  4 P 3.15, 4 Co 3.24
Sr: 0.7500 0.7500 0.2249  4 P 3.15, 4 Co 3.24
Co: 0.2500 0.7500 0.0000  4 P 2.26
Co: 0.7500 0.2500 0.0000  4 P 2.26

Computed, not measured: a geometry-optimized AcGaSb3 structure at the PBE-GGA level of DFT.

Output
As for the total DFT energy (no corrections): -4.03 eV/atom. The value obtained for the energy above the most stable polymorph in this dataset is 0.302 eV/atom.

Cell lengths 5.3801, 5.3801, 5.3801 Å; angles 90.00, 90.00, 90.00 degrees
Last column: nearest neighbours and their distance in Å.
Sites, in units of the cell vectors:
Sb: 0.0000 0.5000 0.0000  2 Ga 2.69
Sb: 0.0000 0.0000 0.5000  2 Ga 2.69
Sb: 0.5000 0.0000 0.0000  2 Ga 2.69
Ga: 0.0000 0.0000 0.0000  6 Sb 2.69
Ac: 0.5000 0.5000 0.5000  12 Sb 3.80

Computed, not measured: a geometry-optimized AlZnPd structure at the PBE-GGA level of DFT.

Output
As for the total DFT energy (no corrections): -3.85 eV/atom. The value obtained for the energy above the most stable polymorph in this dataset is 0.083 eV/atom. The formation enthalpy at 0 K comes out at -0.45 eV per atom.

Cell lengths 2.9037, 4.2572, 10.9968 Å; angles 125.80, 97.58, 89.98 degrees
Last column: nearest neighbours and their distance in Å.
Sites, in units of the cell vectors:
Pd: 0.0662 0.4497 0.1326  6 Al 2.58-2.69, 2 Zn 2.63
Pd: 0.9338 0.5503 0.8674  6 Al 2.58-2.69, 2 Zn 2.63
Al: 0.4379 0.0631 0.8758  6 Pd 2.58-2.69
Al: 0.5621 0.9369 0.1242  6 Pd 2.58-2.69
Zn: 0.6903 0.8216 0.3814  2 Zn 2.54, 2 Pd 2.63
Zn: 0.3097 0.1784 0.6186  2 Zn 2.54, 2 Pd 2.63

Computed, not measured: a geometry-optimized CdCu2Ag2 structure at the PBE-GGA level of DFT.

Output
As for the total DFT energy (no corrections): -2.78 eV/atom. The value obtained for the energy above the most stable polymorph in this dataset is 0.071 eV/atom. The formation enthalpy at 0 K comes out at 0.19 eV per atom.

Cell lengths 3.4740, 3.4740, 7.6777 Å; angles 76.92, 76.92, 90.00 degrees
Last column: nearest neighbours and their distance in Å.
Sites, in units of the cell vectors:
Cu: 0.7500 0.2500 0.5000  4 Cu 2.46, 4 Ag 2.71
Cu: 0.2500 0.7500 0.5000  4 Cu 2.46, 4 Ag 2.71
Ag: 0.6069 0.6069 0.7863  4 Cu 2.71, 4 Cd 2.91
Ag: 0.3931 0.3931 0.2137  4 Cu 2.71, 4 Cd 2.91
Cd: 0.0000 0.0000 0.0000  8 Ag 2.91

Computed, not measured: a geometry-optimized Pu2Ga6SiAu structure at the PBE-GGA level of DFT.

Output
As for the total DFT energy (no corrections): -5.67 eV/atom.

Cell lengths 5.3813, 9.3730, 8.2544 Å; angles 90.00, 90.00, 90.00 degrees
Last column: nearest neighbours and their distance in Å.
Sites, in units of the cell vectors:
Pu: 0.5000 0.7354 0.7202  8 Ga 3.06-3.39, 2 Si 3.25
Pu: 0.0000 0.2646 0.7798  8 Ga 3.06-3.39, 2 Si 3.25
Pu: 0.5000 0.7354 0.2798  8 Ga 3.06-3.39, 2 Si 3.25
Pu: 0.0000 0.2646 0.2202  8 Ga 3.06-3.39, 2 Si 3.25
Ga: 0.7472 0.0063 0.5000  6 Ga 2.60-2.74, 1 Au 2.72
Ga: 0.7434 0.5139 0.0000  1 Si 2.49, 1 Au 2.54, 2 Ga 2.62-2.76
Ga: 0.7566 0.4861 0.5000  1 Si 2.49, 1 Au 2.54, 2 Ga 2.62-2.76
Ga: 0.0000 0.8910 0.7347  1 Si 2.56, 4 Ga 2.60-2.74, 1 Au 2.60
Ga: 0.5000 0.1090 0.7653  1 Si 2.56, 4 Ga 2.60-2.74, 1 Au 2.60
Ga: 0.2528 0.0063 0.5000  6 Ga 2.60-2.74, 1 Au 2.72
Ga: 0.2566 0.5139 0.0000  1 Si 2.49, 1 Au 2.54, 2 Ga 2.62-2.76
Ga: 0.5000 0.1090 0.2347  1 Si 2.56, 4 Ga 2.60-2.74, 1 Au 2.60
Ga: 0.0000 0.8910 0.2653  1 Si 2.56, 4 Ga 2.60-2.74, 1 Au 2.60
Ga: 0.2472 0.9937 0.0000  6 Ga 2.60-2.74, 1 Au 2.72
Ga: 0.7528 0.9937 0.0000  6 Ga 2.60-2.74, 1 Au 2.72
Ga: 0.2434 0.4861 0.5000  1 Si 2.49, 1 Au 2.54, 2 Ga 2.62-2.76
Au: 0.0000 0.7410 0.0000  6 Ga 2.54-2.72
Au: 0.5000 0.2590 0.5000  6 Ga 2.54-2.72
Si: 0.0000 0.7119 0.5000  4 Ga 2.49-2.56
Si: 0.5000 0.2881 0.0000  4 Ga 2.49-2.56

Computed, not measured: a geometry-optimized Ce4SiSn structure at the PBE-GGA level of DFT.

Output
As for the total DFT energy (no corrections): -5.80 eV/atom.

Cell lengths 5.0600, 5.9893, 5.9893 Å; angles 95.80, 64.95, 64.95 degrees
Last column: nearest neighbours and their distance in Å.
Sites, in units of the cell vectors:
Ce: 0.7560 0.9135 0.5780  5 Ce 2.91-3.17
Ce: 0.2439 0.4220 0.0865  5 Ce 2.91-3.17
Ce: 0.2439 0.0865 0.4220  5 Ce 2.91-3.17
Ce: 0.7560 0.5780 0.9135  5 Ce 2.91-3.17
Si: 0.5000 0.5000 0.5000  2 Sn 3.11, 12 Ce 3.30-3.35
Sn: 0.0000 0.0000 0.0000  2 Si 3.11, 12 Ce 3.33-3.34

Computed, not measured: a geometry-optimized CsBi2BrO structure at the PBE-GGA level of DFT.

Output
As for the total DFT energy (no corrections): -2.55 eV/atom.

Cell lengths 5.6867, 7.3128, 5.6867 Å; angles 90.00, 90.00, 90.00 degrees
Last column: nearest neighbours and their distance in Å.
Sites, in units of the cell vectors:
Bi: 0.0000 0.0000 0.5000  2 Br 2.84
Bi: 0.5000 0.0000 0.0000  2 Br 2.84
Cs: 0.0000 0.5000 0.0000  2 Br 3.66, 4 O 4.02
Br: 0.0000 0.0000 0.0000  4 Bi 2.84
O: 0.5000 0.5000 0.5000  4 Cs 4.02

Computed, not measured: a geometry-optimized Tb2Ho5ErIn structure at the PBE-GGA level of DFT.

Output
As for the total DFT energy (no corrections): -4.39 eV/atom. The formation enthalpy at 0 K comes out at 0.00 eV per atom.

Cell lengths 5.3137, 10.4150, 10.4108 Å; angles 90.00, 90.00, 104.78 degrees
Last column: nearest neighbours and their distance in Å.
Sites, in units of the cell vectors:
In: 0.4039 0.8078 0.5080  6 Ho 3.11-3.24
In: 0.5961 0.1922 0.0080  6 Ho 3.11-3.24
Ho: 0.0112 0.0225 0.0083  2 In 3.16, 2 Tb 3.37
Ho: 0.7115 0.4230 0.8101  1 In 3.11, 2 Ho 3.26, 2 Er 3.36, 3 Tb 3.41-3.47
Ho: 0.6179 0.2358 0.5082  4 Tb 3.44, 1 Er 3.51, 6 Ho 3.52-3.72
Ho: 0.7114 0.4228 0.2064  1 In 3.11, 2 Ho 3.26, 2 Er 3.36, 3 Tb 3.41-3.48
Ho: 0.5000 0.0001 0.2582  2 In 3.24, 2 Ho 3.52, 4 Tb 3.56
Ho: 0.3821 0.7642 0.0082  4 Tb 3.44, 1 Er 3.51, 6 Ho 3.52-3.72
Ho: 0.9888 0.9775 0.5083  2 In 3.16, 2 Tb 3.37
Ho: 0.2885 0.5770 0.3101  1 In 3.11, 2 Ho 3.26, 2 Er 3.36, 3 Tb 3.41-3.47
Ho: 0.2886 0.5772 0.7064  1 In 3.11, 2 Ho 3.26, 2 Er 3.36, 3 Tb 3.41-3.48
Ho: 0.5000 0.9999 0.7582  2 In 3.24, 2 Ho 3.52, 4 Tb 3.56
Er: 0.2078 0.4156 0.0082  7 Ho 3.36-3.54, 2 In 3.48, 2 Tb 3.54
Er: 0.7922 0.5844 0.5082  7 Ho 3.36-3.54, 2 In 3.48, 2 Tb 3.54
Tb: 0.1161 0.2322 0.2979  9 Ho 3.37-3.68, 1 Er 3.54
Tb: 0.8839 0.7678 0.2186  9 Ho 3.37-3.68, 1 Er 3.54
Tb: 0.1161 0.2322 0.7186  9 Ho 3.37-3.68, 1 Er 3.54
Tb: 0.8839 0.7678 0.7979  9 Ho 3.37-3.68, 1 Er 3.54